Record 1
# PBE-GGA Nd5Y4Cd, optimized geometry
data_Nd5Y4Cd
_cell_length_a 3.6565
_cell_length_b 3.6565
_cell_length_c 24.5761
_cell_angle_alpha 90.00
_cell_angle_beta 90.00
_cell_angle_gamma 90.00
_symmetry_space_group_name_H-M 'P 4/m m m'
_symmetry_Int_Tables_number 123
_symmetry_space_group_name_Hall '-P 4 2'
loop_
_atom_site_label
_atom_site_fract_x
_atom_site_fract_y
_atom_site_fract_z
_atom_site_occupancy
Nd1 0.0000 0.0000 0.0000 1
Nd2 0.0000 0.0000 0.2061 1
Nd3 0.0000 0.0000 0.4134 1
Y1 0.5000 0.5000 0.1031 1
Y2 0.5000 0.5000 0.3094 1
Cd1 0.5000 0.5000 0.5000 1
# **ΔE_f**: -0.0456 eV/atom

***

Record 2
# PBE-GGA Hf2Sc2Pb, optimized geometry
data_Hf2Sc2Pb
_cell_length_a 7.6327
_cell_length_b 7.6327
_cell_length_c 4.1852
_cell_angle_alpha 90.00
_cell_angle_beta 90.00
_cell_angle_gamma 90.00
_symmetry_space_group_name_H-M 'P 4/m b m'
_symmetry_Int_Tables_number 127
_symmetry_space_group_name_Hall '-P 4 2ab'
loop_
_atom_site_label
_atom_site_fract_x
_atom_site_fract_y
_atom_site_fract_z
_atom_site_occupancy
Hf1 0.1358 0.3642 0.0000 1
Sc1 0.1547 0.6547 0.5000 1
Pb1 0.0000 0.0000 0.0000 1
# **ΔE_f**: 0.0665 eV/atom
# **Energy relative to the lowest polymorph listed for this composition**: 0.000 eV per atom

***

Record 3
# PBE-GGA Ac2TlHg5, optimized geometry
data_Ac2TlHg5
_cell_length_a 6.8142
_cell_length_b 6.8180
_cell_length_c 6.8587
_cell_angle_alpha 116.65
_cell_angle_beta 116.67
_cell_angle_gamma 95.27
_symmetry_space_group_name_H-M 'P 1'
_symmetry_Int_Tables_number 1
loop_
_symmetry_equiv_pos_as_xyz
'x,y,z'
loop_
_atom_site_label
_atom_site_fract_x
_atom_site_fract_y
_atom_site_fract_z
_atom_site_occupancy
Ac1 0.0000 0.0000 0.0000 1
Ac2 0.4542 0.5520 0.0050 1
Tl1 0.4473 0.9978 0.5311 1
Hg1 0.0116 0.5597 0.4903 1
Hg2 0.4995 0.5024 0.5055 1
Hg3 0.5379 0.0873 0.0728 1
Hg4 0.9286 0.4772 0.9577 1
Hg5 0.9557 0.0522 0.5062 1
# **ΔE_f**: -0.3455 eV/atom
# **Energy relative to the lowest polymorph listed for this composition**: 0.000 eV per atom

***

Record 4
# PBE-GGA RbLiZnS2, optimized geometry
data_RbLiZnS2
_cell_length_a 4.0251
_cell_length_b 4.0251
_cell_length_c 13.7599
_cell_angle_alpha 90.00
_cell_angle_beta 90.00
_cell_angle_gamma 90.00
_symmetry_space_group_name_H-M 'I -4 m 2'
_symmetry_Int_Tables_number 119
_symmetry_space_group_name_Hall 'I -4 -2'
loop_
_atom_site_label
_atom_site_fract_x
_atom_site_fract_y
_atom_site_fract_z
_atom_site_occupancy
Rb1 0.0000 0.0000 0.0000 1
Li1 0.0000 0.5000 0.2500 1
Zn1 0.0000 0.5000 0.7500 1
S1 0.0000 0.0000 0.3471 1
# **DFT total energy**: -3.6100 eV/atom

***

Record 5
# PBE-GGA KNp2PbO8, optimized geometry
data_KNp2PbO8
_cell_length_a 6.1302
_cell_length_b 6.1302
_cell_length_c 6.0743
_cell_angle_alpha 90.00
_cell_angle_beta 90.00
_cell_angle_gamma 120.00
_symmetry_space_group_name_H-M 'P -3'
_symmetry_Int_Tables_number 147
loop_
_symmetry_equiv_pos_as_xyz
'x,y,z'
'-x,-y,-z'
'-y,x-y,z'
'y,-x+y,-z'
'-x+y,-x,z'
'x-y,x,-z'
loop_
_atom_site_label
_atom_site_fract_x
_atom_site_fract_y
_atom_site_fract_z
_atom_site_occupancy
K1 0.0000 0.0000 0.0000 1
Np1 0.3333 0.6667 0.9427 1
Pb1 0.0000 0.0000 0.5000 1
O1 0.0595 0.3938 0.1519 1
O2 0.3333 0.6667 0.6357 1
# **DFT total energy**: -7.7223 eV/atom

***

Record 6
# PBE-GGA TaNbCuMo, optimized geometry
data_TaNbCuMo
_cell_length_a 6.3964
_cell_length_b 6.3964
_cell_length_c 6.3964
_cell_angle_alpha 90.00
_cell_angle_beta 90.00
_cell_angle_gamma 90.00
_symmetry_space_group_name_H-M 'F -4 3 m'
_symmetry_Int_Tables_number 216
_symmetry_space_group_name_Hall 'F -4 2 3'
loop_
_atom_site_label
_atom_site_fract_x
_atom_site_fract_y
_atom_site_fract_z
_atom_site_occupancy
Ta1 0.0000 0.0000 0.0000 1
Nb1 0.0000 0.0000 0.5000 1
Cu1 0.2500 0.2500 0.2500 1
Mo1 0.2500 0.2500 0.7500 1
# **ΔE_f**: 0.0808 eV/atom

***

Record 7
# PBE-GGA FeTcW2, optimized geometry
data_FeTcW2
_cell_length_a 2.6814
_cell_length_b 4.3820
_cell_length_c 5.1400
_cell_angle_alpha 90.00
_cell_angle_beta 99.92
_cell_angle_gamma 90.00
_symmetry_space_group_name_H-M 'P 1 m 1'
_symmetry_Int_Tables_number 6
loop_
_symmetry_equiv_pos_as_xyz
'x,y,z'
'x,-y,z'
loop_
_atom_site_label
_atom_site_fract_x
_atom_site_fract_y
_atom_site_fract_z
_atom_site_occupancy
Fe1 0.0000 0.0000 0.0000 1
Tc1 0.7413 0.5000 0.2514 1
W1 0.2473 0.5000 0.7646 1
W2 0.4964 0.0000 0.4967 1
# **ΔE_f**: 0.1254 eV/atom
# **Energy relative to the lowest polymorph listed for this composition**: 0.022 eV per atom

***

Record 8
# PBE-GGA CaAl2In, optimized geometry
data_CaAl2In
_cell_length_a 3.3156
_cell_length_b 4.8158
_cell_length_c 5.8649
_cell_angle_alpha 90.00
_cell_angle_beta 90.10
_cell_angle_gamma 90.00
_symmetry_space_group_name_H-M 'P 1 m 1'
_symmetry_Int_Tables_number 6
loop_
_symmetry_equiv_pos_as_xyz
'x,y,z'
'x,-y,z'
loop_
_atom_site_label
_atom_site_fract_x
_atom_site_fract_y
_atom_site_fract_z
_atom_site_occupancy
Ca1 0.0000 0.0000 0.0000 1
Al1 0.4992 0.0000 0.5202 1
Al2 0.4988 0.5000 0.7557 1
In1 0.5022 0.5000 0.2520 1
# **ΔE_f**: -0.0932 eV/atom

***

Record 9
# PBE-GGA TmSc2Cu, optimized geometry
data_TmSc2Cu
_cell_length_a 3.2928
_cell_length_b 3.2928
_cell_length_c 8.2845
_cell_angle_alpha 90.00
_cell_angle_beta 90.00
_cell_angle_gamma 90.00
_symmetry_space_group_name_H-M 'P 4/m m m'
_symmetry_Int_Tables_number 123
_symmetry_space_group_name_Hall '-P 4 2'
loop_
_atom_site_label
_atom_site_fract_x
_atom_site_fract_y
_atom_site_fract_z
_atom_site_occupancy
Tm1 0.0000 0.0000 0.0000 1
Sc1 0.5000 0.5000 0.3057 1
Cu1 0.0000 0.0000 0.5000 1
# **ΔE_f**: -0.0803 eV/atom
# **Energy relative to the lowest polymorph listed for this composition**: 0.039 eV per atom

***

Record 10
# PBE-GGA Ni3Ir2Rh, optimized geometry
data_Ni3Ir2Rh
_cell_length_a 5.1816
_cell_length_b 7.5574
_cell_length_c 15.5555
_cell_angle_alpha 90.00
_cell_angle_beta 90.00
_cell_angle_gamma 90.00
_symmetry_space_group_name_H-M 'F d d d'
_symmetry_Int_Tables_number 70
loop_
_symmetry_equiv_pos_as_xyz
'x,y,z'
'-x,-y,-z'
'-x+1/4,-y+1/4,z'
'x+1/4,y+1/4,-z'
'x,-y+1/4,-z+1/4'
'-x,y+1/4,z+1/4'
'-x+1/4,y,-z+1/4'
'x+1/4,-y,z+1/4'
'x,y+1/2,z+1/2'
'-x,-y+1/2,-z+1/2'
'-x+1/4,-y+3/4,z+1/2'
'x+1/4,y+3/4,-z+1/2'
'x,-y+3/4,-z+3/4'
'-x,y+3/4,z+3/4'
'-x+1/4,y+1/2,-z+3/4'
'x+1/4,-y+1/2,z+3/4'
'x+1/2,y,z+1/2'
'-x+1/2,-y,-z+1/2'
'-x+3/4,-y+1/4,z+1/2'
'x+3/4,y+1/4,-z+1/2'
'x+1/2,-y+1/4,-z+3/4'
'-x+1/2,y+1/4,z+3/4'
'-x+3/4,y,-z+3/4'
'x+3/4,-y,z+3/4'
'x+1/2,y+1/2,z'
'-x+1/2,-y+1/2,-z'
'-x+3/4,-y+3/4,z'
'x+3/4,y+3/4,-z'
'x+1/2,-y+3/4,-z+1/4'
'-x+1/2,y+3/4,z+1/4'
'-x+3/4,y+1/2,-z+1/4'
'x+3/4,-y+1/2,z+1/4'
loop_
_atom_site_label
_atom_site_fract_x
_atom_site_fract_y
_atom_site_fract_z
_atom_site_occupancy
Ni1 0.1250 0.1250 0.1250 1
Ni2 0.1250 0.1250 0.4577 1
Ir1 0.1250 0.1250 0.2902 1
Rh1 0.1250 0.1250 0.6250 1
# **ΔE_f**: -0.0212 eV/atom

***

Record 11
# PBE-GGA HoNi5As3, optimized geometry
data_HoNi5As3
_cell_length_a 3.6762
_cell_length_b 12.2014
_cell_length_c 11.7695
_cell_angle_alpha 90.00
_cell_angle_beta 90.00
_cell_angle_gamma 90.00
_symmetry_space_group_name_H-M 'C m c m'
_symmetry_Int_Tables_number 63
_symmetry_space_group_name_Hall '-C 2c 2'
loop_
_atom_site_label
_atom_site_fract_x
_atom_site_fract_y
_atom_site_fract_z
_atom_site_occupancy
Ho1 0.0000 0.1521 0.2500 1
Ni1 0.0000 0.0000 0.0000 1
Ni2 0.0000 0.1964 0.5699 1
Ni3 0.0000 0.4514 0.1449 1
As1 0.0000 0.1187 0.7500 1
As2 0.0000 0.3797 0.5470 1
# **ΔE_f**: -0.5198 eV/atom

***

Record 12
# PBE-GGA BiBPt, optimized geometry
data_BiBPt
_cell_length_a 3.0813
_cell_length_b 3.0813
_cell_length_c 23.4680
_cell_angle_alpha 90.00
_cell_angle_beta 90.00
_cell_angle_gamma 90.00
_symmetry_space_group_name_H-M 'I 4/m m m'
_symmetry_Int_Tables_number 139
_symmetry_space_group_name_Hall '-I 4 2'
loop_
_atom_site_label
_atom_site_fract_x
_atom_site_fract_y
_atom_site_fract_z
_atom_site_occupancy
Bi1 0.0000 0.0000 0.0702 1
B1 0.0000 0.0000 0.2189 1
Pt1 0.0000 0.0000 0.3097 1
# **ΔE_f**: 0.2010 eV/atom